Here is CrPb2 after structural relaxation from Alexandria. Energies are from GGA-PBE.

As for the crystal system: hexagonal. The energy of formation from the pure elements is 77 kJ per mole of atoms.

The space group is P6_3/mmc (No. 194) and the conventional cell measures 6.4025, 6.4025 and 10.2080 Å, with angles of 90.00, 90.00 and 120.00 degrees. The asymmetric unit holds Cr at (0.3333, 0.6667, 0.0945), Pb at (0.0000, 0.0000, 0.0000) and Pb at (0.1722, 0.3443, 0.7500).

Here is CrPb2 after structural relaxation from Alexandria. Energies are from GGA-PBE.

As for the crystal system: hexagonal. The energy of formation from the pure elements is 63 kJ per mole of atoms.

The space group is P6/mmm (No. 191) and the conventional cell measures 5.4039, 5.4039 and 3.2461 Å, with angles of 90.00, 90.00 and 120.00 degrees. The asymmetric unit holds Cr at (0.0000, 0.0000, 0.0000) and Pb at (0.3333, 0.6667, 0.5000).

Here is CrPb5 after structural relaxation from Alexandria. Energies are from GGA-PBE.

The offset from the most stable computed form comes out at 32 meV per atom. As for the crystal system: orthorhombic. The energy of formation from the pure elements is 24 kJ per mole of atoms.

The space group is Cmmm (No. 65) and the conventional cell measures 4.887, 14.516 and 4.872 Å, with angles of 90.00, 90.00 and 90.00 degrees. The asymmetric unit holds Cr at (0.000, 0.000, 0.000), Pb at (0.000, 0.160, 0.500), Pb at (0.000, 0.342, 0.000) and Pb at (0.000, 0.500, 0.500).

Here is CrPb2 after structural relaxation from Alexandria. Energies are from GGA-PBE.

As for the crystal system: monoclinic. The energy of formation from the pure elements is 46 kJ per mole of atoms.

The space group is C2/m (No. 12) and the conventional cell measures 10.980, 4.858 and 6.485 Å, with angles of 90.00, 116.67 and 90.00 degrees. The asymmetric unit holds Cr at (0.159, 0.000, 0.097), Pb at (0.039, 0.500, 0.791) and Pb at (0.182, 0.000, 0.606).

Here is CrPb2 after structural relaxation from Alexandria. Energies are from GGA-PBE.

As for the crystal system: tetragonal. The energy of formation from the pure elements is 41 kJ per mole of atoms.

The space group is I4_1/amd (No. 141, origin choice 2) and the conventional cell measures 3.428, 3.428 and 26.986 Å, with angles of 90.00, 90.00 and 90.00 degrees. The asymmetric unit holds Cr at (0.000, 0.250, 0.375) and Pb at (0.000, 0.250, 0.807).

Here is CrPb3 after structural relaxation from Alexandria. Energies are from GGA-PBE.

As for the crystal system: orthorhombic. The energy of formation from the pure elements is 31 kJ per mole of atoms.

The space group is Cmmm (No. 65) and the conventional cell measures 4.978, 4.993 and 8.667 Å, with angles of 90.00, 90.00 and 90.00 degrees. The asymmetric unit holds Cr at (0.000, 0.000, 0.000), Pb at (0.000, 0.000, 0.500) and Pb at (0.000, 0.500, 0.208).

Here is Cr4Pb after structural relaxation from Alexandria. Energies are from GGA-PBE.

The offset from the most stable computed form comes out at 1257 meV per atom. As for the crystal system: cubic. The energy of formation from the pure elements is 180 kJ per mole of atoms.

The space group is Pm-3m (No. 221) and the conventional cell measures 5.234, 5.234 and 5.234 Å, with angles of 90.00, 90.00 and 90.00 degrees. The asymmetric unit holds Cr at (0.000, 0.000, 0.000), Cr at (0.000, 0.500, 0.500) and Pb at (0.500, 0.500, 0.500).

Here is CrPb2 after structural relaxation from Alexandria. Energies are from GGA-PBE.

As for the crystal system: orthorhombic. The energy of formation from the pure elements is 43 kJ per mole of atoms.

The space group is Pnma (No. 62) and the conventional cell measures 8.834, 3.425 and 9.979 Å, with angles of 90.00, 90.00 and 90.00 degrees. The asymmetric unit holds Cr at (0.192, 0.250, 0.185), Pb at (0.019, 0.250, 0.655) and Pb at (0.156, 0.750, 0.944).

Here is CrPb3 after structural relaxation from Alexandria. Energies are from GGA-PBE.

As for the crystal system: orthorhombic. The energy of formation from the pure elements is 36 kJ per mole of atoms.

The space group is Cmcm (No. 63) and the conventional cell measures 10.814, 11.664 and 3.382 Å, with angles of 90.00, 90.00 and 90.00 degrees. The asymmetric unit holds Cr at (0.000, 0.061, 0.250), Pb at (0.000, 0.357, 0.750) and Pb at (0.208, 0.126, 0.750).

Here is CrPb2 after structural relaxation from Alexandria. Energies are from GGA-PBE.

As for the crystal system: hexagonal. The energy of formation from the pure elements is 45 kJ per mole of atoms.

The space group is P-62m (No. 189) and the conventional cell measures 7.9415, 7.9415 and 4.2111 Å, with angles of 90.00, 90.00 and 120.00 degrees. The asymmetric unit holds Cr at (0.0000, 0.0000, 0.0000), Cr at (0.3333, 0.6667, 0.5000), Pb at (0.0000, 0.2633, 0.5000) and Pb at (0.0000, 0.6048, 0.0000).

Here is CrPb2 after structural relaxation from Alexandria. Energies are from GGA-PBE.

As for the crystal system: orthorhombic. The energy of formation from the pure elements is 49 kJ per mole of atoms.

The space group is Pnnm (No. 58) and the conventional cell measures 6.428, 7.305 and 3.372 Å, with angles of 90.00, 90.00 and 90.00 degrees. The asymmetric unit holds Cr at (0.000, 0.000, 0.000) and Pb at (0.118, 0.305, 0.500).

Here is CrPb3 after structural relaxation from Alexandria. Energies are from GGA-PBE.

As for the crystal system: cubic. The energy of formation from the pure elements is 41 kJ per mole of atoms.

The space group is Fm-3m (No. 225) and the conventional cell measures 7.613, 7.613 and 7.613 Å, with angles of 90.00, 90.00 and 90.00 degrees. The asymmetric unit holds Cr at (0.000, 0.000, 0.000), Pb at (0.000, 0.000, 0.500) and Pb at (0.250, 0.250, 0.250).

Here is Cr4Pb5 after structural relaxation from Alexandria. Energies are from GGA-PBE.

The offset from the most stable computed form comes out at 13 meV per atom. As for the crystal system: tetragonal. The energy of formation from the pure elements is 60 kJ per mole of atoms.

The space group is I4/mmm (No. 139) and the conventional cell measures 9.420, 9.420 and 4.594 Å, with angles of 90.00, 90.00 and 90.00 degrees. The asymmetric unit holds Cr at (0.000, 0.397, 0.000), Pb at (0.000, 0.000, 0.000) and Pb at (0.176, 0.176, 0.500).

Here is Cr3Pb5 after structural relaxation from Alexandria. Energies are from GGA-PBE.

The offset from the most stable computed form comes out at 11 meV per atom. As for the crystal system: hexagonal. The energy of formation from the pure elements is 50 kJ per mole of atoms.

The space group is P6_3/mcm (No. 193) and the conventional cell measures 8.4848, 8.4848 and 6.3977 Å, with angles of 90.00, 90.00 and 120.00 degrees. The asymmetric unit holds Cr at (0.0000, 0.4034, 0.2500), Pb at (0.0000, 0.2416, 0.7500) and Pb at (0.3333, 0.6667, 0.0000).

Here is CrPb3 after structural relaxation from Alexandria. Energies are from GGA-PBE.

As for the crystal system: tetragonal. The energy of formation from the pure elements is 37 kJ per mole of atoms.

The space group is I4/mmm (No. 139) and the conventional cell measures 4.789, 4.789 and 19.096 Å, with angles of 90.00, 90.00 and 90.00 degrees. The asymmetric unit holds Cr at (0.000, 0.000, 0.124), Pb at (0.000, 0.000, 0.375), Pb at (0.000, 0.500, 0.000) and Pb at (0.000, 0.500, 0.250).

Here is CrPb4 after structural relaxation from Alexandria. Energies are from GGA-PBE.

As for the crystal system: cubic. The energy of formation from the pure elements is 38 kJ per mole of atoms.

The space group is Pm-3m (No. 221) and the conventional cell measures 5.314, 5.314 and 5.314 Å, with angles of 90.00, 90.00 and 90.00 degrees. The asymmetric unit holds Cr at (0.000, 0.000, 0.000), Pb at (0.000, 0.000, 0.500) and Pb at (0.500, 0.500, 0.500).

Here is Cr8Pb after structural relaxation from Alexandria. Energies are from GGA-PBE.

As for the crystal system: tetragonal. The energy of formation from the pure elements is 51 kJ per mole of atoms.

The space group is I4/mmm (No. 139) and the conventional cell measures 7.499, 7.499 and 4.203 Å, with angles of 90.00, 90.00 and 90.00 degrees. The asymmetric unit holds Cr at (0.000, 0.351, 0.000), Cr at (0.177, 0.177, 0.500) and Pb at (0.000, 0.000, 0.000).

Here is CrPb3 after structural relaxation from Alexandria. Energies are from GGA-PBE.

As for the crystal system: cubic. The energy of formation from the pure elements is 36 kJ per mole of atoms.

The space group is Pm-3m (No. 221) and the conventional cell measures 4.789, 4.789 and 4.789 Å, with angles of 90.00, 90.00 and 90.00 degrees. The asymmetric unit holds Cr at (0.000, 0.000, 0.000) and Pb at (0.000, 0.500, 0.500).

Here is Cr4Pb5 after structural relaxation from Alexandria. Energies are from GGA-PBE.

The offset from the most stable computed form comes out at 0 meV per atom. As for the crystal system: hexagonal. The energy of formation from the pure elements is 58 kJ per mole of atoms.

The space group is P6_3/mcm (No. 193) and the conventional cell measures 8.7272, 8.7272 and 6.4504 Å, with angles of 90.00, 90.00 and 120.00 degrees. The asymmetric unit holds Cr at (0.0000, 0.0000, 0.0000), Cr at (0.0000, 0.3647, 0.2500), Pb at (0.0000, 0.2925, 0.7500) and Pb at (0.3333, 0.6667, 0.0000).

Here is CrPb2 after structural relaxation from Alexandria. Energies are from GGA-PBE.

As for the crystal system: hexagonal. The energy of formation from the pure elements is 47 kJ per mole of atoms.

The space group is P6_3/mmc (No. 194) and the conventional cell measures 5.1772, 5.1772 and 6.7331 Å, with angles of 90.00, 90.00 and 120.00 degrees. The asymmetric unit holds Cr at (0.3333, 0.6667, 0.2500), Pb at (0.0000, 0.0000, 0.0000) and Pb at (0.3333, 0.6667, 0.7500).

Here is Cr5Pb3 after structural relaxation from Alexandria. Energies are from GGA-PBE.

The offset from the most stable computed form comes out at 154 meV per atom. As for the crystal system: hexagonal. The energy of formation from the pure elements is 73 kJ per mole of atoms.

The space group is P6_3/mcm (No. 193) and the conventional cell measures 8.3403, 8.3403 and 5.0455 Å, with angles of 90.00, 90.00 and 120.00 degrees. The asymmetric unit holds Cr at (0.0000, 0.1476, 0.2500), Cr at (0.3333, 0.6667, 0.0000) and Pb at (0.0000, 0.3847, 0.7500).

Here is Cr5Pb3 after structural relaxation from Alexandria. Energies are from GGA-PBE.

The offset from the most stable computed form comes out at 183 meV per atom. As for the crystal system: orthorhombic. The energy of formation from the pure elements is 76 kJ per mole of atoms.

The space group is Cmmm (No. 65) and the conventional cell measures 7.422, 9.567 and 4.522 Å, with angles of 90.00, 90.00 and 90.00 degrees. The asymmetric unit holds Cr at (0.000, 0.000, 0.000), Cr at (0.214, 0.500, 0.500), Cr at (0.250, 0.250, 0.000), Pb at (0.000, 0.201, 0.500) and Pb at (0.000, 0.500, 0.000).

Here is Cr3Pb5 after structural relaxation from Alexandria. Energies are from GGA-PBE.

The offset from the most stable computed form comes out at 28 meV per atom. As for the crystal system: orthorhombic. The energy of formation from the pure elements is 52 kJ per mole of atoms.

The space group is Cmmm (No. 65) and the conventional cell measures 8.734, 9.763 and 4.684 Å, with angles of 90.00, 90.00 and 90.00 degrees. The asymmetric unit holds Cr at (0.000, 0.000, 0.000), Cr at (0.000, 0.260, 0.500), Pb at (0.000, 0.500, 0.000), Pb at (0.217, 0.000, 0.500) and Pb at (0.250, 0.250, 0.000).

Here is CrPb3 after structural relaxation from Alexandria. Energies are from GGA-PBE.

As for the crystal system: tetragonal. The energy of formation from the pure elements is 37 kJ per mole of atoms.

The space group is I4/mmm (No. 139) and the conventional cell measures 4.793, 4.793 and 9.574 Å, with angles of 90.00, 90.00 and 90.00 degrees. The asymmetric unit holds Cr at (0.000, 0.000, 0.000), Pb at (0.000, 0.000, 0.500) and Pb at (0.000, 0.500, 0.250).

Here is Cr4Pb after structural relaxation from Alexandria. Energies are from GGA-PBE.

The offset from the most stable computed form comes out at 0 meV per atom. As for the crystal system: tetragonal. The energy of formation from the pure elements is 58 kJ per mole of atoms.

The space group is I4/m (No. 87) and the conventional cell measures 5.930, 5.930 and 4.016 Å, with angles of 90.00, 90.00 and 90.00 degrees. The asymmetric unit holds Cr at (0.073, 0.322, 0.000) and Pb at (0.000, 0.000, 0.500).

For the records above, the corresponding calculated volume values read 362.4, 82.1, 345.6, 309.1, 317.1, 215.4, 143.4, 301.9, 426.7, 230.0, 158.3, 441.3, 407.7, 398.9, 437.9, 150.0, 236.3, 109.8, 425.5, 156.3, 303.9, 321.1, 399.4, 220.0, 141.2 Å³ per cell.
For the records above, the corresponding total magnetization values read 18.17, 4.47, 8.92, 16.95, 15.59, 8.53, 17.96, 14.76, 0.00, 12.22, 6.91, 17.07, 0.00, 23.58, 17.85, 2.74, 0.00, 4.35, 32.21, 8.28, 8.00, 36.61, 25.14, 8.89, 0.02 Bohr magnetons per cell.